This record from Alexandria describes Sm7Y2Sc2 after structural relaxation. The functional is PBE-GGA.

The total energy is -0.1893 Ha/atom. The energy of formation is 177.2 meV/atom. The value obtained for the volume is 721 Å³/cell.

The space group is Imm2 (No. 44) and the conventional cell measures 3.5810, 21.3064 and 9.4548 Å, with angles of 90.00, 90.00 and 90.00 degrees. The inequivalent atoms are Sm at (0.0000, 0.0000, 0.0000), Sm at (0.0000, 0.1228, 0.4556), Sm at (0.0000, 0.3498, 0.6444), Sm at (0.0000, 0.3579, 0.2714), Y at (0.0000, 0.0000, 0.6554), Y at (0.0000, 0.5000, 0.8239) and Sc at (0.0000, 0.2510, 0.9474).